{"formula": "Ba3Li8Tl", "functional": "PBE", "state": "relaxed", "formation_energy_ev_per_atom": -0.0207, "dft_energy_ev_per_atom": -1.974, "lattice": [[3.1106, 1.7959, 10.6588], [-3.1106, 1.7959, 10.6588], [0.0000, -3.5918, 10.6588]], "species": ["Ba", "Ba", "Ba", "Li", "Li", "Li", "Li", "Li", "Li", "Li", "Li", "Tl"], "fractional_positions": [[0.0000, 0.0000, 0.0000], [0.1315, 0.1315, 0.1315], [0.6109, 0.6109, 0.6109], [0.0515, 0.0515, 0.5652], [0.0515, 0.5652, 0.0515], [0.0719, 0.5621, 0.5621], [0.3065, 0.3065, 0.3065], [0.5621, 0.0719, 0.5621], [0.5621, 0.5621, 0.0719], [0.5652, 0.0515, 0.0515], [0.8127, 0.8127, 0.8127], [0.4952, 0.4952, 0.4952]]}